(1)
Material: Ba2MgAlO5
Method: DFT, PBE-GGA
State: relaxed

Structure (POSCAR):
```
Ba2MgAlO5
1.0
1.706 -7.878 0.000
1.706 7.878 0.000
0.000 0.000 10.439
Ba Mg Al O
4 2 2 10
Cartesian
1.706 6.048 5.219
1.706 6.001 9.089
1.706 -6.001 3.869
1.706 -6.048 0.000
1.706 4.425 2.158
1.706 -4.425 7.377
1.706 1.016 6.806
1.706 -1.016 1.586
1.706 7.082 2.307
1.706 3.208 8.641
1.706 2.777 6.308
1.706 2.445 1.968
1.706 0.214 5.227
1.706 -0.214 0.008
1.706 -2.445 7.188
1.706 -2.777 1.088
1.706 -3.208 3.422
1.706 -7.082 7.527
```

**DOS at the Fermi energy**: 0.2168 states/eV/atom
**Energy relative to the elements, uncorrected**: -22.06 eV per formula unit
**VASP energy**: -56.0 eV/f.u.
**Magnetization**: 2.1 Bohr magnetons per cell

=====

(2)
Material: BaMg6AlO8
Method: DFT, PBE-GGA
State: relaxed

Structure (POSCAR):
```
BaMg6AlO8
1.0
4.697 0.000 0.000
0.000 4.697 0.000
0.000 0.000 8.823
Ba Mg Al O
1 6 1 8
Cartesian
0.000 0.000 0.000
0.000 0.000 4.412
0.000 2.349 2.350
0.000 2.349 6.473
2.349 0.000 2.350
2.349 0.000 6.473
2.349 2.349 4.412
2.349 2.349 0.000
0.000 0.000 2.494
0.000 0.000 6.329
0.000 2.349 0.000
0.000 2.349 4.412
2.349 0.000 0.000
2.349 0.000 4.412
2.349 2.349 2.177
2.349 2.349 6.646
```

**DOS at the Fermi energy**: 0.0807 states/eV/atom
**Relative energy among the computed polymorphs**: 65 meV/atom
**Energy relative to the elements, uncorrected**: -34.41 eV per formula unit
**VASP energy**: -89.3 eV/f.u.
**Magnetization**: 0.0 Bohr magnetons per cell

=====

(3)
Material: BaMg6AlO8
Method: DFT, PBE-GGA
State: relaxed

Structure (POSCAR):
```
BaMg6AlO8
1.0
4.763 0.000 0.000
0.000 4.763 0.000
0.000 0.000 8.626
Ba Mg Al O
1 6 1 8
Cartesian
0.000 0.000 0.000
0.000 2.381 2.269
0.000 2.381 6.358
2.381 0.000 2.269
2.381 0.000 6.358
2.381 2.381 0.000
2.381 2.381 4.313
0.000 0.000 4.313
0.000 0.000 2.547
0.000 0.000 6.079
0.000 2.381 0.000
0.000 2.381 4.313
2.381 0.000 0.000
2.381 0.000 4.313
2.381 2.381 2.172
2.381 2.381 6.455
```

**DOS at the Fermi energy**: 0.0762 states/eV/atom
**Relative energy among the computed polymorphs**: 0 meV/atom
**Energy relative to the elements, uncorrected**: -35.45 eV per formula unit
**VASP energy**: -90.3 eV/f.u.
**Magnetization**: 0.0 Bohr magnetons per cell

=====

(4)
Material: BaMg2AlOs
Method: DFT, PBE-GGA
State: relaxed

Structure (POSCAR):
```
BaMg2AlOs
1.0
5.173 0.000 0.000
0.000 5.173 0.000
0.000 0.000 4.874
Ba Mg Al Os
1 2 1 1
Cartesian
0.000 0.000 0.000
0.000 2.587 2.437
2.587 0.000 2.437
2.587 2.587 0.000
2.587 2.587 2.437
```

**DOS at the Fermi energy**: 0.4270 states/eV/atom
**Calculated formation energy**: -0.3 eV per formula unit
**VASP energy**: -20.4 eV/f.u.
**Magnetization**: 0.0 Bohr magnetons per cell

=====

(5)
Material: BaMgAlP2
Method: DFT, PBE-GGA
State: relaxed

Structure (POSCAR):
```
BaMgAlP2
1.0
7.465 0.000 0.000
0.000 5.737 0.000
-2.483 0.000 5.662
Ba Mg Al P
2 2 2 4
Cartesian
-0.621 1.369 1.415
-1.862 4.367 4.246
3.112 2.844 1.415
1.870 2.893 4.246
3.732 0.000 0.000
2.491 0.000 2.831
-0.274 1.543 4.961
0.968 4.194 2.130
4.014 1.543 3.532
5.255 4.194 0.701
```

**DOS at the Fermi energy**: 0.4817 states/eV/atom
**Calculated formation energy**: -2.8 eV per formula unit
**VASP energy**: -20.9 eV/f.u.
**Magnetization**: 0.0 Bohr magnetons per cell

=====

(6)
Material: BaMgAl2P
Method: DFT, PBE-GGA
State: relaxed

Structure (POSCAR):
```
BaMgAl2P
1.0
5.031 0.000 0.000
0.000 5.031 0.000
0.000 0.000 6.249
Ba Mg Al P
1 1 2 1
Cartesian
0.000 0.000 0.000
0.000 0.000 3.124
0.000 2.516 3.124
2.516 0.000 3.124
2.516 2.516 0.000
```

**DOS at the Fermi energy**: 0.9156 states/eV/atom
**Calculated formation energy**: 3.1 eV per formula unit
**VASP energy**: -13.3 eV/f.u.
**Magnetization**: 0.0 Bohr magnetons per cell